6
Lattice="0.0000 4.4840 4.4840 4.4840 0.0000 4.4840 4.4840 4.4840 0.0000" Properties=species:S:1:pos:R:3 comment="LiTl4Te, single point on PBEsol structure, DFT meta-GGA SCAN" density_kg_m3=8768 formation_energy_uncorrected_ev_per_atom=0.009 spacegroup="F-43m (216)" pbc="T T T"
Li 0.0000 0.0000 0.0000
Tl 3.3631 3.3631 3.3631
Tl 5.6048 5.6048 3.3631
Tl 5.6048 3.3631 5.6048
Tl 3.3631 5.6048 5.6048
Te 6.7260 6.7260 6.7260